Record 1
A relaxed structure of AlOsW2, computed with PBE-GGA.

Geometry as POSCAR:
```
AlOsW2
1.0
1.406 0.812 9.046
-1.406 0.812 9.046
0.000 -1.623 9.046
Al Os W
1 1 2
Direct
0.000 0.000 0.000 Al
0.254 0.254 0.254 Os
0.507 0.507 0.507 W
0.751 0.751 0.751 W
```

formation energy = 0.09 eV per atom
space group = No. 160
size of the total moment = 0.0 μB per formula unit



Record 2
A relaxed structure of ZrBe2Os, computed with PBE-GGA.

Geometry as POSCAR:
```
ZrBe2Os
1.0
1.395 0.805 8.374
-1.395 0.805 8.374
0.000 -1.610 8.374
Zr Be Os
1 2 1
Direct
0.000 0.000 0.000 Zr
0.238 0.238 0.238 Be
0.762 0.762 0.762 Be
0.500 0.500 0.500 Os
```

formation energy = 0.26 eV per atom
space group = No. 166
size of the total moment = 0.0 μB per formula unit



Record 3
A relaxed structure of VOs4, computed with PBE-GGA.

Geometry as POSCAR:
```
VOs4
1.0
4.398 0.000 0.000
0.000 4.398 0.000
0.000 0.000 4.398
V Os
1 4
Direct
0.000 0.000 0.000 V
0.000 0.000 0.500 Os
0.000 0.500 0.000 Os
0.500 0.000 0.000 Os
0.500 0.500 0.500 Os
```

formation energy = 2.01 eV per atom
space group = No. 221
size of the total moment = 0.0 μB per formula unit



Record 4
A relaxed structure of SrAcGd2, computed with PBE-GGA.

Geometry as POSCAR:
```
SrAcGd2
1.0
3.829 0.000 0.000
0.000 3.829 0.000
0.000 0.000 10.898
Sr Ac Gd
1 1 2
Direct
0.000 0.000 0.000 Sr
0.000 0.000 0.500 Ac
0.500 0.500 0.268 Gd
0.500 0.500 0.732 Gd
```

formation energy = 0.11 eV per atom
space group = No. 123
size of the total moment = 15.6 μB per formula unit



Record 5
A relaxed structure of Sm6ErSc, computed with PBE-GGA.

Geometry as POSCAR:
```
Sm6ErSc
1.0
5.044 0.000 0.000
0.000 5.044 0.000
0.000 0.000 10.084
Sm Er Sc
6 1 1
Direct
0.000 0.000 0.000 Sm
0.000 0.000 0.500 Sm
0.000 0.500 0.246 Sm
0.000 0.500 0.754 Sm
0.500 0.000 0.246 Sm
0.500 0.000 0.754 Sm
0.500 0.500 0.500 Er
0.500 0.500 0.000 Sc
```

formation energy = 0.03 eV per atom
space group = No. 123
size of the total moment = 0.0 μB per formula unit



Record 6
A relaxed structure of Li2Mn2Ge, computed with PBE-GGA.

Geometry as POSCAR:
```
Li2Mn2Ge
1.0
-1.618 1.618 6.533
1.618 -1.618 6.533
1.618 1.618 -6.533
Li Mn Ge
2 2 1
Direct
0.250 0.750 0.500 Li
0.750 0.250 0.500 Li
0.080 0.080 0.000 Mn
0.920 0.920 0.000 Mn
0.500 0.500 0.000 Ge
```

formation energy = 0.61 eV per atom
space group = No. 139
size of the total moment = 0.0 μB per formula unit



Record 7
A relaxed structure of BeNi2, computed with PBE-GGA.

Geometry as POSCAR:
```
BeNi2
1.0
2.455 0.000 0.000
-1.228 2.127 0.000
0.000 0.000 5.633
Be Ni
1 2
Direct
0.000 0.000 0.000 Be
0.333 0.667 0.313 Ni
0.667 0.333 0.687 Ni
```

formation energy = -0.20 eV per atom
space group = No. 164
size of the total moment = 0.0 μB per formula unit



Record 8
A relaxed structure of TmZrSn2, computed with PBE-GGA.

Geometry as POSCAR:
```
TmZrSn2
1.0
1.695 0.978 9.940
-1.695 0.978 9.940
0.000 -1.957 9.940
Tm Zr Sn
1 1 2
Direct
0.000 0.000 0.000 Tm
0.500 0.500 0.500 Zr
0.247 0.247 0.247 Sn
0.753 0.753 0.753 Sn
```

formation energy = -0.36 eV per atom
space group = No. 166
size of the total moment = 0.0 μB per formula unit



Record 9
A relaxed structure of Na2LiBiCl6, computed with PBE-GGA.

Geometry as POSCAR:
```
Na2LiBiCl6
1.0
3.486 2.013 6.228
-3.486 2.013 6.228
0.000 -4.026 6.228
Na Li Bi Cl
2 1 1 6
Direct
0.000 0.000 0.000 Na
0.496 0.496 0.496 Na
0.284 0.284 0.284 Li
0.799 0.799 0.799 Bi
0.076 0.417 0.678 Cl
0.188 0.920 0.571 Cl
0.417 0.678 0.076 Cl
0.571 0.188 0.920 Cl
0.678 0.076 0.417 Cl
0.920 0.571 0.188 Cl
```

raw formation energy = -14.75 eV/f.u.
space group = No. 146
size of the total moment = 0.0 μB per formula unit



Record 10
A relaxed structure of Hf2AgBi, computed with PBE-GGA.

Geometry as POSCAR:
```
Hf2AgBi
1.0
-3.925 3.925 3.048
3.925 -3.925 3.048
3.925 3.925 -3.048
Hf Ag Bi
4 2 2
Direct
0.109 0.125 0.484 Hf
0.375 0.891 0.016 Hf
0.641 0.625 0.516 Hf
0.875 0.359 0.984 Hf
0.000 0.000 0.000 Ag
0.750 0.250 0.500 Ag
0.250 0.750 0.500 Bi
0.500 0.500 0.000 Bi
```

formation energy = 0.26 eV per atom
space group = No. 122
size of the total moment = 0.0 μB per formula unit



Record 11
A relaxed structure of K3Sm, computed with PBE-GGA.

Geometry as POSCAR:
```
K3Sm
1.0
8.592 0.000 0.000
-4.296 7.441 0.000
0.000 0.000 7.103
K Sm
6 2
Direct
0.171 0.343 0.250 K
0.171 0.829 0.250 K
0.343 0.171 0.750 K
0.657 0.829 0.250 K
0.829 0.171 0.750 K
0.829 0.657 0.750 K
0.333 0.667 0.750 Sm
0.667 0.333 0.250 Sm
```

formation energy = 0.55 eV per atom
space group = No. 194
size of the total moment = 1.3 μB per formula unit



Record 12
A relaxed structure of LaTcH2N, computed with PBE-GGA.

Geometry as POSCAR:
```
LaTcH2N
1.0
3.788 0.000 0.000
0.000 3.788 0.000
0.000 0.000 3.991
La Tc H N
1 1 2 1
Direct
0.000 0.000 0.000 La
0.500 0.500 0.500 Tc
0.000 0.500 0.500 H
0.500 0.000 0.500 H
0.500 0.500 0.000 N
```

VASP energy = -6.70 eV/atom
space group = No. 123
size of the total moment = 0.0 μB per formula unit



Record 13
A relaxed structure of Ni2TeOs, computed with PBE-GGA.

Geometry as POSCAR:
```
Ni2TeOs
1.0
4.258 -1.511 0.000
4.258 1.511 0.000
-0.830 0.000 4.669
Ni Te Os
2 1 1
Direct
0.241 0.241 0.212 Ni
0.759 0.759 0.788 Ni
0.000 0.000 0.500 Te
0.500 0.500 0.000 Os
```

raw formation energy = 2.04 eV/f.u.
space group = No. 12
size of the total moment = 0.0 μB per formula unit



Record 14
A relaxed structure of HoFe2Si2C, computed with PBE-GGA.

Geometry as POSCAR:
```
HoFe2Si2C
1.0
3.873 0.000 0.000
0.000 3.873 0.000
0.000 0.000 5.150
Ho Fe Si C
1 2 2 1
Direct
0.000 0.000 0.000 Ho
0.000 0.500 0.500 Fe
0.500 0.000 0.500 Fe
0.500 0.500 0.229 Si
0.500 0.500 0.771 Si
0.000 0.000 0.500 C
```

raw formation energy = -2.52 eV/f.u.
space group = No. 123
size of the total moment = 1.5 μB per formula unit



Record 15
A relaxed structure of KGeB2, computed with PBE-GGA.

Geometry as POSCAR:
```
KGeB2
1.0
-2.280 2.280 6.889
2.280 -2.280 6.889
2.280 2.280 -6.889
K Ge B
2 2 4
Direct
0.375 0.625 0.750 K
0.625 0.375 0.250 K
0.125 0.875 0.250 Ge
0.875 0.125 0.750 Ge
0.000 0.000 0.000 B
0.000 0.000 0.500 B
0.000 0.500 0.000 B
0.500 0.000 0.500 B
```

formation energy = 0.92 eV per atom
space group = No. 141
size of the total moment = 0.0 μB per formula unit



Record 16
A relaxed structure of PrY6Er3Sc2, computed with PBE-GGA.

Geometry as POSCAR:
```
PrY6Er3Sc2
1.0
3.046 -5.270 0.000
3.046 5.270 0.000
-2.019 0.000 11.496
Pr Y Er Sc
1 6 3 2
Direct
0.000 0.000 0.000 Pr
0.083 0.419 0.248 Y
0.253 0.253 0.752 Y
0.419 0.083 0.248 Y
0.581 0.917 0.752 Y
0.747 0.747 0.248 Y
0.917 0.581 0.752 Y
0.167 0.833 0.500 Er
0.500 0.500 0.500 Er
0.833 0.167 0.500 Er
0.333 0.667 0.000 Sc
0.667 0.333 0.000 Sc
```

formation energy = 0.04 eV per atom
space group = No. 12
size of the total moment = 0.0 μB per formula unit



Record 17
A relaxed structure of SrPm2Y, computed with PBE-GGA.

Geometry as POSCAR:
```
SrPm2Y
1.0
1.864 1.076 12.357
-1.864 1.076 12.357
0.000 -2.152 12.357
Sr Pm Y
1 2 1
Direct
0.000 0.000 0.000 Sr
0.577 0.577 0.577 Pm
0.756 0.756 0.756 Pm
0.166 0.166 0.166 Y
```

formation energy = 0.10 eV per atom
space group = No. 160
size of the total moment = 0.0 μB per formula unit